{
  "formula": "Ce2ErTi",
  "functional": "PBE-GGA",
  "state": "relaxed",
  "e_form_ev_per_atom": 0.21,
  "sg": "No. 123",
  "relative_energy_mev_per_atom": 33,
  "lattice_angstrom": [[4.908, 0.000, 0.000], [0.000, 4.559, 0.000], [0.000, 0.000, 4.559]],
  "species": ["Ce", "Ti", "Ce", "Er"],
  "frac_coords": [[0.000, 0.500, 0.000], [0.500, 0.000, 0.000], [0.000, 0.000, 0.500], [0.500, 0.500, 0.500]]
}

---

{
  "formula": "Rb2LiHg5",
  "functional": "PBE-GGA",
  "state": "relaxed",
  "e_form_ev_per_atom": -0.21,
  "sg": "No. 1",
  "lattice_angstrom": [[6.557, -0.628, -3.736], [-4.322, 6.231, 0.060], [-0.294, 0.617, 7.551]],
  "species": ["Rb", "Hg", "Rb", "Hg", "Hg", "Hg", "Hg", "Li"],
  "frac_coords": [[0.501, 0.696, 0.197], [0.943, 0.205, 0.692], [0.499, 0.253, 0.753], [0.513, 0.205, 0.263], [0.487, 0.750, 0.692], [0.000, 0.306, 0.305], [0.057, 0.749, 0.262], [0.000, 0.059, 0.059]]
}

---

Number 1: total energy -5.87 eV/atom. Number 2: total energy -0.88 eV/atom.